LuTcGe: optimized geometry, GGA-PBE.

Geometry as CIF:
```
data_LuTcGe
_chemical_formula_sum 'Lu4 Tc4 Ge4'
_space_group_name_H-M_alt 'F -4 3 m'
_space_group_IT_number 216
_space_group_name_Hall 'F -4 2 3'
_cell_length_a 6.231
_cell_length_b 6.231
_cell_length_c 6.231
_cell_angle_alpha 90.00
_cell_angle_beta 90.00
_cell_angle_gamma 90.00
loop_
_atom_site_label
_atom_site_fract_x
_atom_site_fract_y
_atom_site_fract_z
Lu1 0.000 0.000 0.000
Tc1 0.000 0.000 0.500
Ge1 0.250 0.250 0.250
```

Results
- ΔE to the lowest computed polymorph (eV/atom) = 0.000
- raw total energy (eV per atom) = -6.5883